# TbSm2Sc8, optimized geometry, DFT PBE-GGA
data_TbSm2Sc8
_chemical_formula_sum 'Tb2 Sm4 Sc16'
_symmetry_space_group_name_H-M 'C 1 2/m 1'
_symmetry_Int_Tables_number 12
_cell_length_a 8.692
_cell_length_b 15.499
_cell_length_c 5.517
_cell_angle_alpha 90.00
_cell_angle_beta 125.99
_cell_angle_gamma 90.00
loop_
_symmetry_equiv_pos_as_xyz
'x,y,z'
'-x,-y,-z'
'-x,y,-z'
'x,-y,z'
'x+1/2,y+1/2,z'
'-x+1/2,-y+1/2,-z'
'-x+1/2,y+1/2,-z'
'x+1/2,-y+1/2,z'
loop_
_atom_site_label
_atom_site_fract_x
_atom_site_fract_y
_atom_site_fract_z
Tb1 0.000 0.000 0.000
Sm1 0.000 0.307 0.500
Sc1 0.000 0.205 0.000
Sc2 0.046 0.500 0.784
Sc3 0.216 0.120 0.693
# Fermi-level density of states, states/eV/f.u.: 16.6
# ΔE_f, eV per atom: 0.15
# Spin magnetization, μB/f.u.: 0.00
# Calculated total energy, eV per atom: -5.7312